Entry P
The following is a GGA-PBE calculation of an optimized crystal structure of HS3I, from the Alexandria database.

Cell lengths 8.8154, 5.4703, 8.4133 Å; angles 125.42, 90.01, 89.99 degrees
Closest atoms and distances in Å follow each position.
Fractional positions:
I: 0.2960 0.9924 0.8417  1 S 2.51
H: 0.5259 0.0932 0.3088  1 S 1.36
I: 0.7960 0.9091 0.8054  1 S 2.51
S: 0.0830 0.3589 0.4537  2 S 2.05-2.06
S: 0.0255 0.5926 0.7427  1 S 2.05
S: 0.4476 0.9181 0.3466  1 H 1.36
S: 0.9478 0.9833 0.3007  1 H 1.36
H: 0.0263 0.8084 0.3384  1 S 1.36
S: 0.5254 0.3090 0.9045  1 S 2.05
S: 0.5829 0.5427 0.1936  2 S 2.05-2.06

Symmetry: P2_1

---

Entry Q
The following is a GGA-PBE calculation of an optimized crystal structure of HS3I, from the Alexandria database.

Cell lengths 5.1417, 5.1417, 5.1417 Å; angles 90.00, 90.00, 90.00 degrees
Closest atoms and distances in Å follow each position.
Fractional positions:
S: 0.5000 0.0000 0.0000  2 I 2.57
H: 0.5000 0.5000 0.5000  12 S 3.64
S: 0.0000 0.5000 0.0000  2 I 2.57
S: 0.0000 0.0000 0.5000  2 I 2.57
I: 0.0000 0.0000 0.0000  6 S 2.57

Symmetry: Pm-3m

---

Entry R
The following is a GGA-PBE calculation of an optimized crystal structure of HS3I, from the Alexandria database.

Cell lengths 4.3052, 4.3052, 4.3052 Å; angles 90.00, 90.00, 90.00 degrees
Closest atoms and distances in Å follow each position.
Fractional positions:
S: 0.0000 0.0000 0.5000  2 H 2.15
H: 0.0000 0.0000 0.0000  6 S 2.15
I: 0.5000 0.5000 0.5000  12 S 3.04
S: 0.5000 0.0000 0.0000  2 H 2.15
S: 0.0000 0.5000 0.0000  2 H 2.15

Symmetry: Pm-3m

---

Least stable = entry Q

---

Entry P
The following is a GGA-PBE calculation of an optimized crystal structure of H3S2I2, from the Alexandria database.

Cell lengths 3.1944, 9.2193, 9.1413 Å; angles 142.49, 100.06, 90.00 degrees
Closest atoms and distances in Å follow each position.
Fractional positions:
H: 0.6698 0.2271 0.3397  2 S 1.66
S: 0.8588 0.8534 0.7176  3 H 1.66
S: 0.1412 0.1466 0.2824  3 H 1.66
H: 0.0000 0.0000 0.0000  2 S 1.66
I: 0.4506 0.2791 0.9012  1 I 2.84
H: 0.3302 0.7729 0.6603  2 S 1.66
I: 0.5494 0.7209 0.0988  1 I 2.84

Symmetry: C2/m

---

Entry Q
The following is a GGA-PBE calculation of an optimized crystal structure of H3S2I2, from the Alexandria database.

Cell lengths 14.2131, 5.6365, 4.5505 Å; angles 51.97, 60.75, 100.97 degrees
Closest atoms and distances in Å follow each position.
Fractional positions:
H: 0.1287 0.5401 0.0406  1 S 1.36
I: 0.6445 0.7157 0.2127  1 I 2.74, 1 H 2.82
H: 0.8713 0.4599 0.9594  1 S 1.36
S: 0.0215 0.8118 0.3962  1 H 1.36
S: 0.9785 0.1882 0.6038  1 H 1.36
I: 0.3555 0.2843 0.7873  1 I 2.74, 1 H 2.82
H: 0.0000 0.0000 0.0000  2 S 1.67

Symmetry: P-1

---

Least stable = entry P

---

Entry P
The following is a GGA-PBE calculation of an optimized crystal structure of Te2HSI, from the Alexandria database.

Cell lengths 4.2533, 4.2533, 8.1755 Å; angles 90.00, 90.00, 90.00 degrees
Closest atoms and distances in Å follow each position.
Fractional positions:
S: 0.5000 0.5000 0.5000  4 I 3.01
Te: 0.0000 0.5000 0.0000  2 H 2.13
H: 0.0000 0.0000 0.0000  4 Te 2.13
I: 0.0000 0.0000 0.5000  4 S 3.01
Te: 0.5000 0.0000 0.0000  2 H 2.13

Symmetry: P4/mmm

---

Entry Q
The following is a GGA-PBE calculation of an optimized crystal structure of Te2HSI, from the Alexandria database.

Cell lengths 5.3332, 5.3332, 5.6583 Å; angles 90.00, 90.00, 90.00 degrees
Closest atoms and distances in Å follow each position.
Fractional positions:
Te: 0.0000 0.5000 0.0000  2 S 2.67
Te: 0.5000 0.0000 0.0000  2 S 2.67
H: 0.5000 0.5000 0.5000  4 I 3.77, 8 Te 3.89
I: 0.0000 0.0000 0.5000  2 S 2.83
S: 0.0000 0.0000 0.0000  4 Te 2.67, 2 I 2.83

Symmetry: P4/mmm

---

Least stable = entry Q

---

Entry P
The following is a GGA-PBE calculation of an optimized crystal structure of SbHI2, from the Alexandria database.

Cell lengths 4.7385, 7.7902, 8.3218 Å; angles 72.29, 87.78, 82.70 degrees
Closest atoms and distances in Å follow each position.
Fractional positions:
H: 0.9896 0.6669 0.4986  1 Sb 1.74
I: 0.5032 0.5891 0.2281  2 Sb 3.05, 2 H 3.37
Sb: 0.7003 0.2363 0.4999  1 H 1.74
Sb: 0.2997 0.7637 0.5001  1 H 1.74
I: 0.4968 0.4109 0.7719  2 Sb 3.05, 2 H 3.37
H: 0.0104 0.3331 0.5014  1 Sb 1.74
I: 0.0029 0.0893 0.2287  2 Sb 3.06, 2 H 3.38
I: 0.9971 0.9107 0.7713  2 Sb 3.06, 2 H 3.38

Symmetry: P-1

---

Entry Q
The following is a GGA-PBE calculation of an optimized crystal structure of SbHI2, from the Alexandria database.

Cell lengths 4.3996, 8.2605, 8.6868 Å; angles 92.36, 93.81, 103.98 degrees
Closest atoms and distances in Å follow each position.
Fractional positions:
I: 0.4824 0.9171 0.9058  2 Sb 3.02-3.12, 1 H 3.35
I: 0.2320 0.3909 0.8112  2 Sb 3.03-3.13, 1 H 3.37
I: 0.4000 0.7582 0.4036  1 Sb 2.80
I: 0.1872 0.2164 0.2594  1 Sb 2.77
H: 0.8619 0.6319 0.0217  1 Sb 1.74
Sb: 0.8400 0.6600 0.8247  1 H 1.74
H: 0.6416 0.1468 0.5571  1 Sb 1.75
Sb: 0.2428 0.0447 0.5233  1 H 1.75

Symmetry: P1

---

Entry R
The following is a GGA-PBE calculation of an optimized crystal structure of SbHI2, from the Alexandria database.

Cell lengths 5.3440, 5.3440, 5.3440 Å; angles 60.00, 60.00, 60.00 degrees
Closest atoms and distances in Å follow each position.
Fractional positions:
I: 0.7500 0.7500 0.7500  4 H 3.27, 4 Sb 3.27
I: 0.2500 0.2500 0.2500  4 Sb 3.27, 4 H 3.27
H: 0.0000 0.0000 0.0000  8 I 3.27
Sb: 0.5000 0.5000 0.5000  8 I 3.27

Symmetry: Fm-3m

---

Least stable = entry R

---

Entry P
The following is a GGA-PBE calculation of an optimized crystal structure of SbHI2, from the Alexandria database.

Cell lengths 4.2801, 16.0868, 8.3474 Å; angles 90.00, 90.00, 90.00 degrees
Closest atoms and distances in Å follow each position.
Fractional positions:
H: 0.0000 0.5884 0.7733  1 Sb 1.74
Sb: 0.5000 0.0820 0.9809  1 H 1.74
H: 0.5000 0.0884 0.7733  1 Sb 1.74
I: 0.5000 0.5525 0.4325  2 Sb 3.07, 2 H 3.39
I: 0.0000 0.7838 0.4668  2 Sb 3.04, 2 H 3.38
Sb: 0.5000 0.9180 0.4809  1 H 1.74
Sb: 0.0000 0.4180 0.4809  1 H 1.74
I: 0.5000 0.4475 0.9325  2 Sb 3.07, 2 H 3.39
I: 0.5000 0.2838 0.4668  2 Sb 3.04, 2 H 3.38
Sb: 0.0000 0.5820 0.9809  1 H 1.74
I: 0.0000 0.9475 0.9325  2 Sb 3.07, 2 H 3.39
I: 0.0000 0.2162 0.9668  2 Sb 3.04, 2 H 3.38
I: 0.5000 0.7162 0.9668  2 Sb 3.04, 2 H 3.38
I: 0.0000 0.0525 0.4325  2 Sb 3.07, 2 H 3.39
H: 0.5000 0.9116 0.2733  1 Sb 1.74
H: 0.0000 0.4116 0.2733  1 Sb 1.74

Symmetry: Cmc2_1

---

Entry Q
The following is a GGA-PBE calculation of an optimized crystal structure of SbHI2, from the Alexandria database.

Cell lengths 4.4399, 7.6102, 9.5797 Å; angles 104.61, 91.01, 106.78 degrees
Closest atoms and distances in Å follow each position.
Fractional positions:
H: 0.4435 0.1287 0.3722  1 Sb 1.75
Sb: 0.0701 0.1599 0.3922  2 H 1.73-1.75
Sb: 0.0708 0.1274 0.8687  6 I 3.02-3.14
H: 0.9070 0.9660 0.2442  1 Sb 1.73
I: 0.2115 0.3983 0.1749  2 Sb 3.05-3.06, 1 H 3.41
I: 0.4375 0.8850 0.9507  2 Sb 3.02-3.12, 1 H 3.29
I: 0.9336 0.8599 0.5604  2 Sb 3.04-3.07, 1 H 3.33
I: 0.6709 0.3708 0.7835  2 Sb 3.03-3.14

Symmetry: P1

---

Entry R
The following is a GGA-PBE calculation of an optimized crystal structure of SbHI2, from the Alexandria database.

Cell lengths 7.4160, 7.4160, 6.6500 Å; angles 56.11, 56.11, 90.00 degrees
Closest atoms and distances in Å follow each position.
Fractional positions:
H: 0.2500 0.7500 0.5000  4 I 2.57
I: 0.1790 0.6250 0.2500  2 H 2.57
Sb: 0.7500 0.2500 0.5000  4 I 3.09
H: 0.5000 0.5000 0.0000  4 I 2.57
I: 0.8750 0.8210 0.7500  2 H 2.57
Sb: 0.0000 0.0000 0.0000  4 I 3.09
I: 0.5710 0.1250 0.2500  2 H 2.57
I: 0.3750 0.4290 0.7500  2 H 2.57

Symmetry: I-42d

---

Entry S
The following is a GGA-PBE calculation of an optimized crystal structure of SbHI2, from the Alexandria database.

Cell lengths 4.9021, 5.9709, 6.2472 Å; angles 79.85, 85.08, 68.75 degrees
Closest atoms and distances in Å follow each position.
Fractional positions:
Sb: 0.0484 0.8358 0.0181  1 H 1.74
I: 0.5748 0.2750 0.9159  1 Sb 2.82
I: 0.1598 0.8412 0.4467  1 Sb 2.79
H: 0.8115 0.6760 0.0960  1 Sb 1.74

Symmetry: P1

---

Least stable = entry R

---

Entry P
The following is a GGA-PBE calculation of an optimized crystal structure of SbHI, from the Alexandria database.

Cell lengths 6.2155, 4.7018, 7.5124 Å; angles 104.12, 101.57, 66.70 degrees
Closest atoms and distances in Å follow each position.
Fractional positions:
H: 0.2163 0.7945 0.1414  1 Sb 1.74
Sb: 0.9082 0.4439 0.8053  1 H 1.74
Sb: 0.0918 0.5561 0.1947  1 H 1.74
I: 0.3164 0.9110 0.7099  1 Sb 2.84
I: 0.6836 0.0890 0.2901  1 Sb 2.84
H: 0.7837 0.2055 0.8586  1 Sb 1.74

Symmetry: P-1

---

Entry Q
The following is a GGA-PBE calculation of an optimized crystal structure of SbHI, from the Alexandria database.

Cell lengths 7.2094, 4.2338, 13.5085 Å; angles 94.04, 74.04, 88.47 degrees
Closest atoms and distances in Å follow each position.
Fractional positions:
H: 0.6827 0.6079 0.3563  1 I 1.67
I: 0.8848 0.4025 0.3543  1 H 1.67
Sb: 0.1167 0.2323 0.9384  3 Sb 2.91-2.93
I: 0.1152 0.5975 0.6457  1 H 1.67
Sb: 0.6131 0.7320 0.9365  3 Sb 2.91-2.93
H: 0.3173 0.3921 0.6437  1 I 1.67
H: 0.2710 0.7751 0.4711  1 I 1.68
Sb: 0.3869 0.2680 0.0635  3 Sb 2.91-2.93
I: 0.3765 0.9147 0.3569  1 H 1.68
H: 0.7290 0.2249 0.5289  1 I 1.68
I: 0.6235 0.0853 0.6431  1 H 1.68
Sb: 0.8833 0.7677 0.0616  3 Sb 2.91-2.93

Symmetry: P-1

---

Least stable = entry Q

---

Entry P
The following is a GGA-PBE calculation of an optimized crystal structure of SbH2I2, from the Alexandria database.

Cell lengths 8.5680, 7.2034, 8.1583 Å; angles 80.98, 74.72, 53.51 degrees
Closest atoms and distances in Å follow each position.
Fractional positions:
I: 0.9328 0.5000 0.7678  2 Sb 3.00-3.01
I: 0.5673 0.5000 0.2322  2 Sb 3.00-3.01
H: 0.2915 0.0000 0.5014  1 H 0.76
I: 0.4327 0.5000 0.7678  2 Sb 3.00-3.01
H: 0.2039 0.0000 0.4985  1 H 0.76
H: 0.7085 0.0000 0.4986  1 H 0.76
Sb: 0.2504 0.4992 0.5000  4 I 3.00-3.01
Sb: 0.7496 0.5008 0.5000  4 I 3.00-3.01
H: 0.7961 0.0000 0.5015  1 H 0.76
I: 0.0672 0.5000 0.2322  2 Sb 3.00-3.01

Symmetry: C2/m

---

Entry Q
The following is a GGA-PBE calculation of an optimized crystal structure of SbH2I2, from the Alexandria database.

Cell lengths 6.1704, 6.1704, 6.3781 Å; angles 90.00, 90.00, 90.00 degrees
Closest atoms and distances in Å follow each position.
Fractional positions:
I: 0.6830 0.8170 0.5000  5 I 3.19, 2 H 3.26
H: 0.7612 0.7388 0.0000  2 Sb 2.18
H: 0.2612 0.7612 0.0000  2 Sb 2.18
Sb: 0.0000 0.0000 0.0000  4 H 2.18
I: 0.8170 0.3170 0.5000  5 I 3.19, 2 H 3.26
Sb: 0.5000 0.5000 0.0000  4 H 2.18
H: 0.2388 0.2612 0.0000  2 Sb 2.18
H: 0.7388 0.2388 0.0000  2 Sb 2.18
I: 0.3170 0.1830 0.5000  5 I 3.19, 2 H 3.26
I: 0.1830 0.6830 0.5000  5 I 3.19, 2 H 3.26

Symmetry: P4/mbm

---

Least stable = entry Q

---

Entry P
The following is a GGA-PBE calculation of an optimized crystal structure of SbHI3, from the Alexandria database.

Cell lengths 8.6190, 8.6190, 8.6190 Å; angles 86.79, 135.62, 109.95 degrees
Closest atoms and distances in Å follow each position.
Fractional positions:
I: 0.0911 0.3196 0.2715  2 Sb 3.04-3.07, 1 H 3.32
I: 0.0685 0.8116 0.2446  1 Sb 3.07, 2 I 3.25-3.27, 1 H 3.39
I: 0.0481 0.8196 0.7285  2 Sb 3.04-3.07, 1 H 3.32
Sb: 0.5852 0.0523 0.0329  1 H 1.73
H: 0.3383 0.6509 0.1874  1 Sb 1.73
I: 0.0685 0.3239 0.7570  1 Sb 3.07, 2 I 3.25-3.27, 1 H 3.39
H: 0.4635 0.1509 0.8126  1 Sb 1.73
I: 0.5670 0.3116 0.2430  1 Sb 3.07, 2 I 3.25-3.27, 1 H 3.39
Sb: 0.0194 0.5523 0.9671  1 H 1.73
I: 0.5670 0.8239 0.7554  1 Sb 3.07, 2 I 3.25-3.27, 1 H 3.39

Symmetry: Ima2

---

Entry Q
The following is a GGA-PBE calculation of an optimized crystal structure of SbHI3, from the Alexandria database.

Cell lengths 5.1211, 5.1211, 5.1211 Å; angles 90.00, 90.00, 90.00 degrees
Closest atoms and distances in Å follow each position.
Fractional positions:
I: 0.0000 0.0000 0.5000  2 H 2.56
Sb: 0.5000 0.5000 0.5000  12 I 3.62
H: 0.0000 0.0000 0.0000  6 I 2.56
I: 0.0000 0.5000 0.0000  2 H 2.56
I: 0.5000 0.0000 0.0000  2 H 2.56

Symmetry: Pm-3m

---

Least stable = entry Q

---

Entry P
The following is a GGA-PBE calculation of an optimized crystal structure of SbHI3, from the Alexandria database.

Cell lengths 5.1479, 7.7570, 10.8440 Å; angles 78.89, 81.25, 87.59 degrees
Closest atoms and distances in Å follow each position.
Fractional positions:
I: 0.9746 0.5487 0.3163  1 Sb 2.87
Sb: 0.5653 0.7535 0.1272  2 I 2.86-2.87
H: 0.9070 0.5204 0.8356  1 I 1.71
I: 0.6948 0.4290 0.9669  1 H 1.71
Sb: 0.8634 0.7923 0.4864  2 I 2.86-2.87
H: 0.5216 0.0254 0.7780  1 I 1.71
I: 0.2100 0.6182 0.6551  1 H 2.33
I: 0.2187 0.9276 0.9585  1 H 2.33
I: 0.4541 0.9971 0.2973  1 Sb 2.87
I: 0.7338 0.1167 0.6467  1 H 1.71

Symmetry: P-1

---

Entry Q
The following is a GGA-PBE calculation of an optimized crystal structure of SbHI3, from the Alexandria database.

Cell lengths 6.0150, 6.0150, 6.0150 Å; angles 90.00, 90.00, 90.00 degrees
Closest atoms and distances in Å follow each position.
Fractional positions:
Sb: 0.0000 0.0000 0.0000  6 I 3.01
H: 0.5000 0.5000 0.5000  12 I 4.25
I: 0.0000 0.5000 0.0000  2 Sb 3.01
I: 0.5000 0.0000 0.0000  2 Sb 3.01
I: 0.0000 0.0000 0.5000  2 Sb 3.01

Symmetry: Pm-3m

---

Least stable = entry Q

---

Entry P
The following is a GGA-PBE calculation of an optimized crystal structure of SbH3I, from the Alexandria database.

Cell lengths 4.1546, 4.1546, 4.1546 Å; angles 90.00, 90.00, 90.00 degrees
Closest atoms and distances in Å follow each position.
Fractional positions:
I: 0.0000 0.0000 0.0000  6 H 2.08
H: 0.0000 0.0000 0.5000  2 I 2.08
H: 0.0000 0.5000 0.0000  2 I 2.08
H: 0.5000 0.0000 0.0000  2 I 2.08
Sb: 0.5000 0.5000 0.5000  12 H 2.94

Symmetry: Pm-3m

---

Entry Q
The following is a GGA-PBE calculation of an optimized crystal structure of SbH3I, from the Alexandria database.

Cell lengths 4.1422, 4.1422, 4.1422 Å; angles 90.00, 90.00, 90.00 degrees
Closest atoms and distances in Å follow each position.
Fractional positions:
Sb: 0.0000 0.0000 0.0000  6 H 2.07
I: 0.5000 0.5000 0.5000  12 H 2.93
H: 0.0000 0.0000 0.5000  2 Sb 2.07
H: 0.0000 0.5000 0.0000  2 Sb 2.07
H: 0.5000 0.0000 0.0000  2 Sb 2.07

Symmetry: Pm-3m

---

Least stable = entry P

---

Entry P
The following is a GGA-PBE calculation of an optimized crystal structure of ScSbHI2, from the Alexandria database.

Cell lengths 5.7906, 5.7906, 5.7246 Å; angles 90.00, 90.00, 90.00 degrees
Closest atoms and distances in Å follow each position.
Fractional positions:
Sc: 0.0000 0.0000 0.0000  2 Sb 2.86, 4 I 2.90
I: 0.5000 0.0000 0.0000  2 Sc 2.90
I: 0.0000 0.5000 0.0000  2 Sc 2.90
Sb: 0.0000 0.0000 0.5000  2 Sc 2.86
H: 0.5000 0.5000 0.5000  8 I 4.07, 4 Sb 4.09

Symmetry: P4/mmm

---

Entry Q
The following is a GGA-PBE calculation of an optimized crystal structure of ScSbHI2, from the Alexandria database.

Cell lengths 5.5313, 5.5313, 3.9292 Å; angles 90.00, 90.00, 90.00 degrees
Closest atoms and distances in Å follow each position.
Fractional positions:
I: 0.0000 0.5000 0.0000  2 H 2.77
Sb: 0.0000 0.0000 0.5000  2 H 1.96
Sc: 0.5000 0.5000 0.5000  8 I 3.39
I: 0.5000 0.0000 0.0000  2 H 2.77
H: 0.0000 0.0000 0.0000  2 Sb 1.96

Symmetry: P4/mmm

---

Least stable = entry Q